ScCoTc3 | PBE-GGA | optimized geometry

a = 4.4777 Å, b = 4.4777 Å, c = 4.4777 Å
α = 90.00°, β = 90.00°, γ = 90.00°
Positions (direct):
Sc (0.0000, 0.0000, 0.0000)
Co (0.5000, 0.5000, 0.5000)
Tc (0.0000, 0.5000, 0.0000)
Tc (0.0000, 0.0000, 0.5000)
Tc (0.5000, 0.0000, 0.0000)

Properties
* E above lowest polymorph: 1.264 eV/atom
* space group: No. 221

***

Sc2CoTc2 | PBE-GGA | optimized geometry

a = 6.3279 Å, b = 6.3279 Å, c = 4.3075 Å
α = 90.00°, β = 90.00°, γ = 90.00°
Positions (direct):
Sc (0.1779, 0.6779, 0.5000)
Sc (0.6779, 0.8221, 0.5000)
Sc (0.8221, 0.3221, 0.5000)
Sc (0.3221, 0.1779, 0.5000)
Co (0.0000, 0.0000, 0.0000)
Co (0.5000, 0.5000, 0.0000)
Tc (0.3675, 0.8675, 0.0000)
Tc (0.8675, 0.6325, 0.0000)
Tc (0.6325, 0.1325, 0.0000)
Tc (0.1325, 0.3675, 0.0000)

Properties
* E above lowest polymorph: 0.000 eV/atom
* space group: No. 127

***

Sc2Co3Tc | PBE-GGA | optimized geometry

a = 4.9707 Å, b = 4.9707 Å, c = 7.9941 Å
α = 90.00°, β = 90.00°, γ = 120.00°
Site moments in Bohr magnetons follow the coordinates.
Positions (direct):
Sc (0.6667, 0.3333, 0.4348)  -0.01
Sc (0.3333, 0.6667, 0.5652)  -0.01
Sc (0.3333, 0.6667, 0.9348)  -0.01
Sc (0.6667, 0.3333, 0.0652)  -0.01
Co (0.1721, 0.3442, 0.2500)  0.12
Co (0.3442, 0.1721, 0.7500)  0.12
Co (0.8279, 0.6558, 0.7500)  0.12
Co (0.1721, 0.8279, 0.2500)  0.12
Co (0.8279, 0.1721, 0.7500)  0.12
Co (0.6558, 0.8279, 0.2500)  0.12
Tc (0.0000, 0.0000, 0.5000)  0.07
Tc (0.0000, 0.0000, 0.0000)  0.07

Properties
* space group: No. 194

***

Number 1: total moment 0.000 μB/f.u., electronic total energy -33.85 eV per cell. Number 2: total moment 0.000 μB/f.u., electronic total energy -80.83 eV per cell. Number 3: total moment 0.409 μB/f.u., electronic total energy -92.63 eV per cell.